Model one:
# PBE LiSb2TeI, relaxed
data_LiSb2TeI
_space_group_name_H-M_alt 'P 4/m m m'
_space_group_IT_number 123
_space_group_name_Hall '-P 4 2'
_cell_length_a 5.814
_cell_length_b 5.814
_cell_length_c 6.302
_cell_angle_alpha 90.00
_cell_angle_beta 90.00
_cell_angle_gamma 90.00
loop_
_atom_site_label
_atom_site_type_symbol
_atom_site_fract_x
_atom_site_fract_y
_atom_site_fract_z
Li1 Li 0.000 0.000 0.000
Sb1 Sb 0.000 0.500 0.500
Te1 Te 0.500 0.500 0.500
I1 I 0.500 0.500 0.000
# **Theoretical density**: 3.94 g cm⁻³
# **DOS(E_F)**: 4.13 states/eV/cell
# **V**: 42.60 Å³ per atom

Model two:
# PBE LiSb2TeI, relaxed
data_LiSb2TeI
_space_group_name_H-M_alt 'P 4/m m m'
_space_group_IT_number 123
_space_group_name_Hall '-P 4 2'
_cell_length_a 5.327
_cell_length_b 5.327
_cell_length_c 4.950
_cell_angle_alpha 90.00
_cell_angle_beta 90.00
_cell_angle_gamma 90.00
loop_
_atom_site_label
_atom_site_type_symbol
_atom_site_fract_x
_atom_site_fract_y
_atom_site_fract_z
Li1 Li 0.000 0.000 0.000
Sb1 Sb 0.000 0.500 0.000
Te1 Te 0.500 0.500 0.500
I1 I 0.000 0.000 0.500
# **Theoretical density**: 5.97 g cm⁻³
# **DOS(E_F)**: 4.63 states/eV/cell
# **V**: 28.09 Å³ per atom

Which of them is the most stable? Correct choice: model two.